The following is a PBE-GGA calculation of a geometry-optimized Ga4RhAu structure, from Alexandria.

Cell: 7.238 7.238 5.882 Å, 113.22 113.22 52.80°
Atoms (fractional coordinates):
Ga 0.004 0.496 0.742
Ga 0.216 0.784 0.000
Ga 0.220 0.780 0.500
Ga 0.496 0.004 0.742
Ga 0.504 0.996 0.258
Ga 0.780 0.220 0.500
Ga 0.784 0.216 0.000
Ga 0.996 0.504 0.258
Rh 0.133 0.133 0.382
Rh 0.867 0.867 0.618
Au 0.385 0.385 0.137
Au 0.615 0.615 0.863

Summary:
As for the crystal system: monoclinic. Its space-group type is C2/m.


The following is a PBE-GGA calculation of a geometry-optimized Ga6Rh3Au structure, from Alexandria.

Cell: 6.573 6.559 10.103 Å, 90.00 129.42 90.00°
Atoms (fractional coordinates):
Ga 0.005 0.063 0.243
Ga 0.005 0.437 0.743
Ga 0.204 0.654 0.068
Ga 0.204 0.846 0.568
Ga 0.407 0.141 0.067
Ga 0.407 0.359 0.567
Ga 0.593 0.641 0.433
Ga 0.593 0.859 0.933
Ga 0.796 0.154 0.432
Ga 0.796 0.346 0.932
Ga 0.995 0.563 0.257
Ga 0.995 0.937 0.757
Rh 0.000 0.000 0.000
Rh 0.000 0.500 0.500
Rh 0.290 0.164 0.752
Rh 0.290 0.336 0.252
Rh 0.710 0.664 0.748
Rh 0.710 0.836 0.248
Au 0.500 0.000 0.500
Au 0.500 0.500 0.000

Summary:
As for the crystal system: monoclinic. Its space-group type is P2_1/c.


no.,size of the total moment (μB per formula unit),ΔE_f (kJ/mol of atoms)
1,0.0,-34
2,0.0,-36